# 1
DFT (GGA-PBE) results for an optimized crystal structure of ReTePCl2.

Computed properties:
size of the total moment: 0.00 μB per cell
space-group type: P4/mmm (123)
energy: -4.4602 eV per atom

Geometry as POSCAR:
```
ReTePCl2
1.0
4.709 0.000 0.000
0.000 4.709 0.000
0.000 0.000 4.833
Re Te P Cl
1 1 1 2
direct
0.000 0.000 0.000
0.500 0.500 0.500
0.000 0.000 0.500
0.000 0.500 0.000
0.500 0.000 0.000
```


# 2
DFT (GGA-PBE) results for an optimized crystal structure of TiRePCl2.

Computed properties:
size of the total moment: 5.36 μB per cell
space-group type: P4/mmm (123)
energy: -5.3432 eV per atom

Geometry as POSCAR:
```
TiRePCl2
1.0
4.575 0.000 0.000
0.000 4.575 0.000
0.000 0.000 5.235
Ti Re P Cl
1 1 1 2
direct
0.000 0.000 0.000
0.500 0.500 0.500
0.000 0.000 0.500
0.000 0.500 0.000
0.500 0.000 0.000
```


# 3
DFT (GGA-PBE) results for an optimized crystal structure of TiRePCl2.

Computed properties:
size of the total moment: 0.71 μB per cell
space-group type: P4/mmm (123)
energy: -5.1784 eV per atom

Geometry as POSCAR:
```
TiRePCl2
1.0
4.802 0.000 0.000
0.000 4.802 0.000
0.000 0.000 4.626
Ti Re P Cl
1 1 1 2
direct
0.000 0.000 0.000
0.500 0.500 0.500
0.500 0.500 0.000
0.000 0.500 0.500
0.500 0.000 0.500
```


no.,ΔE_f (raw) (eV/atom)
1,0.478
2,0.546
3,0.711